[1]
PBE ScFeOs4, optimized geometry; space-group type = F-43m, No. 216
1.0
0.0000 3.6515 3.6515
3.6515 0.0000 3.6515
3.6515 3.6515 0.0000
Sc Fe Os
1 1 4
Direct
0.0000 0.0000 0.0000 Sc
0.7500 0.7500 0.7500 Fe
0.3751 0.3751 0.3751 Os
0.3751 0.3751 0.8746 Os
0.3751 0.8746 0.3751 Os
0.8746 0.3751 0.3751 Os

[2]
PBE K2CoRu, optimized geometry; space-group type = Fm-3m, No. 225
1.0
0.0000 3.8403 3.8403
3.8403 0.0000 3.8403
3.8403 3.8403 0.0000
K Co Ru
2 1 1
Direct
0.2500 0.2500 0.2500 K
0.7500 0.7500 0.7500 K
0.0000 0.0000 0.0000 Co
0.5000 0.5000 0.5000 Ru

[3]
PBE PrTlIn2Cl6, optimized geometry; space-group type = P1, No. 1
1.0
7.9237 0.0000 0.0000
-3.9604 6.8694 0.0000
-3.9617 -2.2877 6.7294
Pr Tl In Cl
1 1 2 6
Direct
0.0000 0.0000 0.0000 Pr
0.9813 0.4907 0.4722 Tl
0.4002 0.7000 0.1003 In
0.4112 0.2055 0.6169 In
0.1352 0.2559 0.7955 Cl
0.1720 0.3545 0.2724 Cl
0.4551 0.1002 0.2720 Cl
0.5393 0.8791 0.7960 Cl
0.9165 0.6602 0.7960 Cl
0.9182 0.8177 0.2727 Cl

[4]
PBE KAgHgCl6, optimized geometry; space-group type = P312, No. 149
1.0
6.8348 0.0000 0.0000
-3.4174 5.9191 0.0000
0.0000 0.0000 6.8714
K Ag Hg Cl
1 1 1 6
Direct
0.0000 0.0000 0.0000 K
0.6667 0.3333 0.5000 Ag
0.3333 0.6667 0.5000 Hg
0.3820 0.0189 0.7162 Cl
0.3820 0.3631 0.2838 Cl
0.6369 0.0189 0.2838 Cl
0.6369 0.6180 0.7162 Cl
0.9811 0.3631 0.7162 Cl
0.9811 0.6180 0.2838 Cl

[5]
PBE Li2Ac2NpS6, optimized geometry; space-group type = R-3m, No. 166
1.0
3.6025 2.0799 6.5725
-3.6025 2.0799 6.5725
0.0000 -4.1598 6.5725
Li Ac Np S
2 2 1 6
Direct
0.0717 0.0717 0.0717 Li
0.9283 0.9283 0.9283 Li
0.2965 0.2965 0.2965 Ac
0.7035 0.7035 0.7035 Ac
0.5000 0.5000 0.5000 Np
0.2522 0.2522 0.7175 S
0.2522 0.7175 0.2522 S
0.2825 0.7478 0.7478 S
0.7175 0.2522 0.2522 S
0.7478 0.2825 0.7478 S
0.7478 0.7478 0.2825 S

[6]
PBE LiGd2S, optimized geometry; space-group type = R-3m, No. 166
1.0
1.8581 1.0728 9.9592
-1.8581 1.0728 9.9592
0.0000 -2.1456 9.9592
Li Gd S
1 2 1
Direct
0.0000 0.0000 0.0000 Li
0.1115 0.1115 0.1115 Gd
0.8885 0.8885 0.8885 Gd
0.5000 0.5000 0.5000 S

[7]
PBE Zr2Al3C4, optimized geometry; space-group type = P6_3mc, No. 186
1.0
3.2417 0.0000 0.0000
-1.6208 2.8074 0.0000
0.0000 0.0000 26.8704
Zr Al C
4 6 8
Direct
0.3333 0.6667 0.0000 Zr
0.3333 0.6667 0.3997 Zr
0.6667 0.3333 0.5000 Zr
0.6667 0.3333 0.8997 Zr
0.0000 0.0000 0.0904 Al
0.0000 0.0000 0.3106 Al
0.0000 0.0000 0.5904 Al
0.0000 0.0000 0.8106 Al
0.3333 0.6667 0.6751 Al
0.6667 0.3333 0.1751 Al
0.0000 0.0000 0.4540 C
0.0000 0.0000 0.9540 C
0.3333 0.6667 0.2094 C
0.3333 0.6667 0.2582 C
0.3333 0.6667 0.8483 C
0.6667 0.3333 0.3483 C
0.6667 0.3333 0.7094 C
0.6667 0.3333 0.7582 C

[8]
PBE Ba6AgRh, optimized geometry; space-group type = R-3, No. 148
1.0
3.9690 2.2915 7.6298
-3.9690 2.2915 7.6298
0.0000 -4.5831 7.6298
Ba Ag Rh
6 1 1
Direct
0.1019 0.4245 0.7365 Ba
0.2635 0.8981 0.5755 Ba
0.4245 0.7365 0.1019 Ba
0.5755 0.2635 0.8981 Ba
0.7365 0.1019 0.4245 Ba
0.8981 0.5755 0.2635 Ba
0.0000 0.0000 0.0000 Ag
0.5000 0.5000 0.5000 Rh

[9]
PBE Tm5Fe2Sb, optimized geometry; space-group type = I4/mcm, No. 140
1.0
-3.6143 3.6143 7.3492
3.6143 -3.6143 7.3492
3.6143 3.6143 -7.3492
Tm Fe Sb
10 4 2
Direct
0.0000 0.0000 0.0000 Tm
0.0457 0.5457 0.8508 Tm
0.1948 0.0457 0.5000 Tm
0.3052 0.8052 0.8508 Tm
0.4543 0.3052 0.5000 Tm
0.5000 0.5000 0.0000 Tm
0.5457 0.6948 0.5000 Tm
0.6948 0.1948 0.1492 Tm
0.8052 0.9543 0.5000 Tm
0.9543 0.4543 0.1492 Tm
0.1083 0.3917 0.5000 Fe
0.3917 0.8917 0.2834 Fe
0.6083 0.1083 0.7166 Fe
0.8917 0.6083 0.5000 Fe
0.2500 0.2500 0.0000 Sb
0.7500 0.7500 0.0000 Sb

[10]
PBE Zr2TaOs, optimized geometry; space-group type = I-4m2, No. 119
1.0
-1.9770 1.9770 4.8915
1.9770 -1.9770 4.8915
1.9770 1.9770 -4.8915
Zr Ta Os
2 1 1
Direct
0.0000 0.0000 0.0000 Zr
0.7500 0.2500 0.5000 Zr
0.5000 0.5000 0.0000 Ta
0.2500 0.7500 0.5000 Os

[11]
PBE AlCu, optimized geometry; space-group type = I4/mcm, No. 140
1.0
-4.2533 4.2533 2.2388
4.2533 -4.2533 2.2388
4.2533 4.2533 -2.2388
Al Cu
4 4
Direct
0.1087 0.6087 0.7175 Al
0.3913 0.1087 0.5000 Al
0.6087 0.8913 0.5000 Al
0.8913 0.3913 0.2825 Al
0.1901 0.3099 0.5000 Cu
0.3099 0.8099 0.1199 Cu
0.6901 0.1901 0.8801 Cu
0.8099 0.6901 0.5000 Cu

[12]
PBE RbP2Ir2, optimized geometry; space-group type = I4/mmm, No. 139
1.0
-2.1084 2.1084 6.4105
2.1084 -2.1084 6.4105
2.1084 2.1084 -6.4105
Rb P Ir
1 2 2
Direct
0.0000 0.0000 0.0000 Rb
0.2500 0.7500 0.5000 P
0.7500 0.2500 0.5000 P
0.3287 0.3287 0.0000 Ir
0.6713 0.6713 0.0000 Ir

N(E_F) list, top to bottom, in states/eV per atom: 1.12 5.67 0.00 0.19 0.95 0.86 0.27 1.06 0.81 1.08 0.43 0.30
Total energy list, top to bottom, in eV per atom: -9.74 -2.87 -3.82 -2.38 -5.93 -9.29 -7.31 -2.88 -5.75 -10.02 -3.83 -6.09